(1)
La2Co4F | the Alexandria database | PBE with a Hubbard U | relaxed; VASP energy = -4.36 eV/atom; symmetry = I4/mmm
1.0
-0.378 4.288 -0.308
-4.299 -0.375 0.053
-2.292 2.518 7.626
La F Co
2 1 4
Cartesian
-4.646 4.296 5.029
-2.324 2.135 2.342
0.000 0.000 0.000
-0.189 2.144 -0.154
-2.150 -0.188 0.027
-2.305 2.366 5.524
-4.665 4.065 1.847



(2)
La3CoF | the Alexandria database | PBE with a Hubbard U | relaxed; energy above the most stable polymorph in this dataset = 0 meV/atom; symmetry = Pm-3m
1.0
-1.551 -4.451 -1.775
-1.577 -1.287 4.607
-4.525 1.974 -0.997
Co F La
1 1 3
Cartesian
-3.826 -1.882 0.918
0.000 0.000 0.000
-2.262 0.987 -0.499
-0.788 -0.644 2.303
-0.776 -2.226 -0.887



(3)
La2CoF2 | the Alexandria database | PBE with a Hubbard U | relaxed; energy above the most stable polymorph in this dataset = 375 meV/atom; symmetry = P4/mbm
1.0
7.295 0.000 0.000
0.000 7.295 0.000
0.000 0.000 3.210
La F Co
4 4 2
Cartesian
5.038 1.390 0.000
2.258 5.905 0.000
5.905 5.038 0.000
1.390 2.258 0.000
6.458 2.810 1.605
4.486 6.458 1.605
0.838 4.486 1.605
2.810 0.838 1.605
3.648 3.648 0.000
0.000 0.000 0.000



(4)
La2CoF2 | the Alexandria database | PBE with a Hubbard U | relaxed; energy above the most stable polymorph in this dataset = 0 meV/atom; symmetry = I4/mmm
1.0
-1.425 -2.983 1.851
2.698 0.347 2.637
-3.539 2.977 5.950
F Co La
2 1 2
Cartesian
-0.102 1.003 5.416
-2.164 -0.662 5.023
0.000 0.000 0.000
-0.437 -0.214 3.197
-1.829 0.555 7.242



(5)
LaCo3F | the Alexandria database | PBE with a Hubbard U | relaxed; energy above the most stable polymorph in this dataset = 1259 meV/atom; symmetry = Pm-3m
1.0
-0.302 3.452 -3.236
0.606 -3.188 -3.457
-4.693 -0.634 -0.239
F Co La
1 3 1
Cartesian
-2.194 -0.185 -3.466
-0.151 1.726 -1.618
0.303 -1.594 -1.729
-2.346 -0.317 -0.119
0.000 0.000 0.000



(6)
LaCoF5 | the Alexandria database | PBE with a Hubbard U | relaxed; VASP energy = -6.03 eV/atom; symmetry = C2/c
1.0
1.178 5.511 1.440
-1.062 0.627 5.684
6.902 0.355 4.052
La F Co
2 10 2
Cartesian
5.112 3.067 6.835
1.907 3.427 4.342
2.697 5.150 2.844
4.322 1.344 8.332
0.972 4.861 5.854
4.320 4.815 8.075
-0.166 2.193 4.588
7.185 4.300 6.589
6.047 1.632 5.323
2.861 2.220 6.216
4.158 4.274 4.960
2.699 1.678 3.102
0.000 0.000 0.000
3.451 0.178 2.026



(7)
Li2LaCoF8 | the Alexandria database | PBE with a Hubbard U | relaxed; VASP energy = -5.32 eV/atom; symmetry = P-1
1.0
-0.812 1.744 -3.883
-4.558 -1.811 -0.021
-1.817 6.196 3.205
Li F La Co
2 8 1 1
Cartesian
-3.206 1.191 -1.464
-3.982 4.937 0.765
-5.001 3.637 1.784
-5.774 5.968 0.475
-2.567 3.743 0.156
-1.414 0.161 -1.173
-3.073 6.127 -0.634
-2.187 2.491 -2.483
-4.621 2.385 -0.855
-4.115 0.002 -0.065
-0.909 3.098 1.602
0.000 0.000 0.000



(8)
NaLaCoF6 | the Alexandria database | PBE with a Hubbard U | relaxed; VASP energy = -5.61 eV/atom; symmetry = P-31c
1.0
5.890 0.000 0.000
-2.945 5.101 0.000
0.000 0.000 9.229
F La Co Na
12 2 2 2
Cartesian
-0.891 4.918 5.831
0.891 4.918 8.012
3.836 0.183 3.397
-1.760 3.413 8.012
-0.869 1.870 5.831
2.054 0.183 1.217
3.814 3.231 3.397
1.760 3.413 5.831
0.869 1.870 8.012
1.185 1.688 3.397
2.076 3.231 1.217
4.705 1.688 1.217
0.000 3.401 2.307
2.945 1.700 6.922
2.945 1.700 2.307
0.000 3.401 6.922
0.000 0.000 4.614
0.000 0.000 0.000



(9)
Na2LaCo3F12 | the Alexandria database | PBE with a Hubbard U | relaxed; VASP energy = -5.16 eV/atom; symmetry = R-3m
1.0
-3.936 4.713 3.179
-6.270 0.797 -2.805
-5.138 -2.689 3.764
F Co Na La
12 3 2 1
Cartesian
-4.931 0.749 -0.660
-11.445 0.338 2.150
-3.898 2.482 1.989
-10.413 2.071 4.798
-7.239 -0.967 3.456
-8.105 3.787 0.682
-10.913 3.614 1.891
-4.431 -0.794 2.248
-7.390 1.583 4.835
-6.479 3.713 3.086
-8.865 -0.893 1.053
-7.954 1.237 -0.696
-2.569 -1.345 1.882
-1.968 2.356 1.589
-3.135 0.398 -1.402
-9.843 1.809 2.655
-5.501 1.011 1.484
0.000 0.000 0.000



(10)
Na2LaCoF8 | the Alexandria database | PBE with a Hubbard U | relaxed; VASP energy = -5.24 eV/atom; symmetry = P2/m
1.0
-4.148 -0.490 -1.971
2.439 -0.557 -4.756
0.352 -7.019 1.003
F Na Co La
8 2 1 1
Cartesian
-2.956 -2.044 -2.443
-0.761 -0.274 -1.650
-0.844 -3.848 -1.510
-0.596 -7.792 -4.074
1.399 -2.026 -3.851
-0.513 -4.218 -4.214
1.599 -6.022 -3.281
-2.756 -6.040 -1.873
-0.584 -5.912 -2.593
-0.773 -2.154 -3.131
0.000 0.000 0.000
0.176 -3.510 0.501



(11)
LaNb2CoF | the Alexandria database | PBE with a Hubbard U | relaxed; VASP energy = -4.58 eV/atom; symmetry = P4/mmm
1.0
5.006 0.000 0.000
0.000 4.269 0.000
0.000 0.000 5.006
Nb F Co La
2 1 1 1
Cartesian
2.503 0.000 0.000
0.000 0.000 2.503
2.503 2.135 2.503
0.000 2.135 0.000
0.000 0.000 0.000



(12)
LaCo2OF | the Alexandria database | PBE with a Hubbard U | relaxed; VASP energy = -5.20 eV/atom; symmetry = P4/mmm
1.0
3.812 0.000 0.000
0.000 5.807 0.000
0.000 0.000 3.812
F Co La O
1 2 1 1
Cartesian
0.000 0.000 0.000
1.906 0.000 0.000
0.000 0.000 1.906
1.906 2.904 1.906
0.000 2.904 0.000